Record 1
First-principles (PBE with a Hubbard U) data for a relaxed structure of AcMnTlO3, as listed in Alexandria.

Lattice parameters (Å, degrees): 6.1800 6.1800 10.7005 90.00 90.00 143.34
Closest atoms and distances in Å follow each position.
Fractional coordinates of all 12 atoms:
Ac  0.0000  0.0000  0.0000  6 O 2.49-2.72
Ac  0.0000  0.0000  0.5000  6 O 2.49-2.72
Mn  0.4611  0.5389  0.7500  4 O 2.01-2.17
Mn  0.5389  0.4611  0.2500  4 O 2.01-2.17
Tl  0.2595  0.7405  0.2500  6 O 3.02-3.19, 3 Mn 3.24-3.28
Tl  0.7405  0.2595  0.7500  6 O 3.02-3.19, 3 Mn 3.24-3.28
O  0.0437  0.9563  0.7500  2 Mn 2.17
O  0.3894  0.6106  0.5796  1 Mn 2.01
O  0.3894  0.6106  0.9204  1 Mn 2.01
O  0.6106  0.3894  0.0796  1 Mn 2.01
O  0.6106  0.3894  0.4204  1 Mn 2.01
O  0.9563  0.0437  0.2500  2 Mn 2.17

Calculated values
**Density**: 7.3 g cm⁻³
**Symmetry**: No. 63
**Total DFT energy (no corrections)**: -6.676 eV per atom

=====

Record 2
First-principles (PBE with a Hubbard U) data for a relaxed structure of AcMnTlO4, as listed in Alexandria.

Lattice parameters (Å, degrees): 6.9180 6.9180 6.9180 127.68 107.14 95.40
Closest atoms and distances in Å follow each position.
Fractional coordinates of all 14 atoms:
Ac  0.0000  0.0000  0.0000  6 O 2.49-2.53
Ac  0.5000  0.0000  0.5000  6 O 2.49-2.53
Mn  0.5000  0.0000  0.0000  6 O 1.97-1.99
Mn  0.5000  0.5000  0.5000  6 O 1.97-1.99
Tl  0.1068  0.3568  0.7500  2 O 2.34
Tl  0.8932  0.6432  0.2500  2 O 2.34
O  0.2883  0.2730  0.4846  1 Mn 1.97
O  0.2883  0.8037  0.0154  1 Mn 1.97
O  0.3390  0.7453  0.5938  2 Mn 1.99
O  0.3485  0.2547  0.0938  2 Mn 1.99
O  0.6515  0.7453  0.9062  2 Mn 1.99
O  0.6610  0.2547  0.4062  2 Mn 1.99
O  0.7117  0.1963  0.9846  1 Mn 1.97
O  0.7117  0.7270  0.5154  1 Mn 1.97

Calculated values
**Density**: 7.8 g cm⁻³
**Symmetry**: No. 74
**Total DFT energy (no corrections)**: -6.691 eV per atom

=====

Record 3
First-principles (PBE with a Hubbard U) data for a relaxed structure of AcMn2TlO4, as listed in Alexandria.

Lattice parameters (Å, degrees): 4.1083 4.1083 7.8873 90.00 90.00 90.00
Closest atoms and distances in Å follow each position.
Fractional coordinates of all 8 atoms:
Ac  0.0000  0.0000  0.0000  8 O 2.61
Mn  0.5000  0.5000  0.2504  4 O 2.09
Mn  0.5000  0.5000  0.7496  4 O 2.09
Tl  0.0000  0.0000  0.5000  8 O 3.11
O  0.0000  0.5000  0.2032  2 Mn 2.09
O  0.0000  0.5000  0.7968  2 Mn 2.09
O  0.5000  0.0000  0.2032  2 Mn 2.09
O  0.5000  0.0000  0.7968  2 Mn 2.09

Calculated values
**Density**: 7.5 g cm⁻³
**Symmetry**: No. 123
**N(E_F)**: 0.90 states/eV/f.u.
**Total DFT energy (no corrections)**: -6.953 eV per atom